[1]
This record from the Alexandria database describes an optimized crystal structure of LaCeIn2Se4. The functional is PBE-GGA.

```
data_LaCeIn2Se4
_cell_length_a 7.551
_cell_length_b 4.361
_cell_length_c 8.085
_cell_angle_alpha 90.00
_cell_angle_beta 108.11
_cell_angle_gamma 90.00
_space_group_name_H-M_alt 'P 1 2/m 1'
_space_group_IT_number 10
loop_
_space_group_symop_operation_xyz
'x,y,z'
'-x,-y,-z'
'-x,y,-z'
'x,-y,z'
loop_
_atom_site_label
_atom_site_type_symbol
_atom_site_fract_x
_atom_site_fract_y
_atom_site_fract_z
La1 La 0.000 0.000 0.000
Ce1 Ce 0.500 0.500 0.000
In1 In 0.000 0.500 0.500
In2 In 0.500 0.000 0.500
Se1 Se 0.242 0.500 0.215
Se2 Se 0.266 0.000 0.787
```

**Crystal system**: monoclinic
**M_tot**: 1.00 Bohr magnetons per cell
**DFT total energy**: -40.6 eV/f.u.

[2]
This record from the Alexandria database describes an optimized crystal structure of TiCuTcAs2. The functional is PBE-GGA.

```
data_TiCuTcAs2
_cell_length_a 4.706
_cell_length_b 4.706
_cell_length_c 4.656
_cell_angle_alpha 90.00
_cell_angle_beta 90.00
_cell_angle_gamma 90.00
_space_group_name_H-M_alt 'P 4/m m m'
_space_group_IT_number 123
_space_group_name_Hall '-P 4 2'
loop_
_atom_site_label
_atom_site_type_symbol
_atom_site_fract_x
_atom_site_fract_y
_atom_site_fract_z
Ti1 Ti 0.000 0.000 0.000
Cu1 Cu 0.500 0.500 0.000
Tc1 Tc 0.500 0.500 0.500
As1 As 0.000 0.500 0.500
```

**Crystal system**: tetragonal
**M_tot**: 0.03 Bohr magnetons per cell
**Energy of formation**: 708 meV per atom

[3]
This record from the Alexandria database describes an optimized crystal structure of Pa2ZnPt5. The functional is PBE-GGA.

```
data_Pa2ZnPt5
_cell_length_a 6.353
_cell_length_b 6.353
_cell_length_c 7.430
_cell_angle_alpha 90.00
_cell_angle_beta 90.00
_cell_angle_gamma 90.00
_space_group_name_H-M_alt 'I 4 m m'
_space_group_IT_number 107
_space_group_name_Hall 'I 4 -2'
loop_
_atom_site_label
_atom_site_type_symbol
_atom_site_fract_x
_atom_site_fract_y
_atom_site_fract_z
Pa1 Pa 0.000 0.500 0.000
Zn1 Zn 0.000 0.000 0.387
Pt1 Pt 0.000 0.000 0.031
Pt2 Pt 0.220 0.220 0.744
```

**Crystal system**: tetragonal
**M_tot**: 0.00 Bohr magnetons per cell
**Energy of formation**: -754 meV per atom

[4]
This record from the Alexandria database describes an optimized crystal structure of SrYTeO6. The functional is PBE-GGA.

```
data_SrYTeO6
_cell_length_a 5.6889
_cell_length_b 5.6889
_cell_length_c 5.1995
_cell_angle_alpha 90.00
_cell_angle_beta 90.00
_cell_angle_gamma 120.00
_space_group_name_H-M_alt 'P 3 1 2'
_space_group_IT_number 149
loop_
_space_group_symop_operation_xyz
'x,y,z'
'-y,x-y,z'
'-x+y,-x,z'
'-y,-x,-z'
'-x+y,y,-z'
'x,x-y,-z'
loop_
_atom_site_label
_atom_site_type_symbol
_atom_site_fract_x
_atom_site_fract_y
_atom_site_fract_z
Sr1 Sr 0.0000 0.0000 0.0000
Y1 Y 0.3333 0.6667 0.5000
Te1 Te 0.6667 0.3333 0.5000
O1 O 0.3876 0.0430 0.7095
```

**Crystal system**: trigonal
**M_tot**: 1.06 Bohr magnetons per cell
**DFT total energy**: -59.6 eV/f.u.

[5]
This record from the Alexandria database describes an optimized crystal structure of Sm12Co6Sb. The functional is PBE-GGA.

```
data_Sm12Co6Sb
_cell_length_a 9.894
_cell_length_b 9.894
_cell_length_c 9.894
_cell_angle_alpha 90.00
_cell_angle_beta 90.00
_cell_angle_gamma 90.00
_space_group_name_H-M_alt 'I m -3'
_space_group_IT_number 204
_space_group_name_Hall '-I 2 2 3'
loop_
_atom_site_label
_atom_site_type_symbol
_atom_site_fract_x
_atom_site_fract_y
_atom_site_fract_z
Sm1 Sm 0.000 0.195 0.306
Co1 Co 0.000 0.388 0.500
Sb1 Sb 0.000 0.000 0.000
```

**Crystal system**: cubic
**M_tot**: 0.00 Bohr magnetons per cell
**DFT total energy**: -107.9 eV/f.u.

[6]
This record from the Alexandria database describes an optimized crystal structure of NaSn2BiSe4. The functional is PBE-GGA.

```
data_NaSn2BiSe4
_cell_length_a 7.333
_cell_length_b 4.270
_cell_length_c 7.361
_cell_angle_alpha 90.00
_cell_angle_beta 108.65
_cell_angle_gamma 90.00
_space_group_name_H-M_alt 'P 1 2/m 1'
_space_group_IT_number 10
loop_
_space_group_symop_operation_xyz
'x,y,z'
'-x,-y,-z'
'-x,y,-z'
'x,-y,z'
loop_
_atom_site_label
_atom_site_type_symbol
_atom_site_fract_x
_atom_site_fract_y
_atom_site_fract_z
Na1 Na 0.000 0.000 0.000
Sn1 Sn 0.500 0.000 0.500
Sn2 Sn 0.500 0.500 0.000
Bi1 Bi 0.000 0.500 0.500
Se1 Se 0.245 0.000 0.751
Se2 Se 0.251 0.500 0.253
```

**Crystal system**: monoclinic
**M_tot**: 0.00 Bohr magnetons per cell
**DFT total energy**: -31.6 eV/f.u.